Material: La5DyCd3
Method: DFT, PBE-GGA
State: relaxed

Values from the calculation:
The space-group type is No. 193. For the density of states at the Fermi level, the calculation gives 20.68 states/eV per cell. Its density is 6.944 g cm⁻³. As for the magnetization: 0.00 μB/cell. Its energy relative to the elements is -0.18 eV per atom.

Cell: 7.134 9.615 9.615 Å, 120.00 90.00 90.00°
Positions (direct):
Dy (0.500, 0.000, 0.000)
La (0.500, 0.333, 0.667)
La (0.750, 0.663, 0.663)
Dy (0.000, 0.000, 0.000)
Cd (0.250, 0.323, 0.000)
La (0.500, 0.667, 0.333)
Cd (0.750, 0.677, 0.000)
Cd (0.250, 0.677, 0.677)
La (0.750, 0.000, 0.337)
La (0.000, 0.333, 0.667)
La (0.250, 0.337, 0.337)
Cd (0.250, 0.000, 0.323)
La (0.250, 0.663, 0.000)
Cd (0.750, 0.000, 0.677)
La (0.000, 0.667, 0.333)
La (0.750, 0.337, 0.000)
Cd (0.750, 0.323, 0.323)
La (0.250, 0.000, 0.663)